Compound: KNiNF2
Source: Alexandria
Functional: PBE with a Hubbard U
Structure: relaxed

Its density is 3.5 g/cm³. Its space-group type is P4/mmm. The relative energy among the computed polymorphs is 0.000 eV/f.u.

a = 4.2416 Å, b = 4.2416 Å, c = 3.9286 Å
α = 90.00°, β = 90.00°, γ = 90.00°
Closest atoms and distances in Å follow each position.
Element x y z (fractional)
Ni1 0.0000 0.0000 0.0000  2 N 1.96, 4 F 2.12
K1 0.5000 0.5000 0.5000  8 F 2.89, 4 N 3.00
N1 0.0000 0.0000 0.5000  2 Ni 1.96
F1 0.0000 0.5000 0.0000  2 Ni 2.12
F2 0.5000 0.0000 0.0000  2 Ni 2.12